No. 1
Crystalline CeH8Ir2Au at its relaxed geometry, computed with PBE-GGA.

abc: 4.923 4.923 6.265
angles: 66.86 66.86 60.00
Each line ends with the local moment (μB).
Fractional positions:
H 0.811 0.811 0.566  0.00
H 0.909 0.581 0.154  0.00
H 0.581 0.356 0.154  0.00
H 0.644 0.091 0.846  0.00
H 0.356 0.909 0.154  0.00
H 0.189 0.189 0.434  0.00
H 0.091 0.419 0.846  0.00
H 0.419 0.644 0.846  0.00
Ce 0.500 0.500 0.500  0.98
Ir 0.712 0.712 0.863  0.01
Ir 0.288 0.288 0.137  0.01
Au 0.000 0.000 0.000  0.00

Values from the calculation:
**Total energy**: -0.1659 hartree per atom


No. 2
Crystalline La3CoSn at its relaxed geometry, computed with PBE-GGA.

abc: 6.471 6.471 6.471
angles: 89.26 89.26 89.26
Fractional positions:
La 0.750 0.041 0.459
La 0.459 0.750 0.041
La 0.541 0.250 0.959
La 0.959 0.541 0.250
La 0.041 0.459 0.750
La 0.250 0.959 0.541
Sn 0.000 0.000 0.000
Sn 0.500 0.500 0.500
Co 0.250 0.250 0.250
Co 0.750 0.750 0.750

Values from the calculation:
**Total energy**: -0.1985 hartree per atom
**Energy relative to the elements**: -0.2243 eV per atom


Among the records above, which one has the highest total energy? CeH8Ir2Au